Li4TlNi: PBEsol geometry, meta-GGA SCAN.

Cell: 4.9186 4.9186 4.9186 Å, 60.00 60.00 60.00°
Fractional positions:
Li  0.3762  0.3762  0.3762
Li  0.8713  0.3762  0.3762
Li  0.3762  0.3762  0.8713
Li  0.3762  0.8713  0.3762
Ni  0.7500  0.7500  0.7500
Tl  0.0000  0.0000  0.0000

Calculated values
Its space group is No. 216. As for the crystal system: cubic.

=====

Li2TlNi: PBEsol geometry, meta-GGA SCAN.

Cell: 3.7582 3.7594 4.9766 Å, 112.19 112.18 90.00°
Fractional positions:
Li  0.7498  0.7498  0.4997
Li  0.2502  0.2502  0.5003
Ni  0.5000  0.0000  0.0000
Tl  0.0000  0.5000  0.0000

Calculated values
Its space group is No. 139. As for the crystal system: tetragonal.

=====

Li2NiW: PBEsol geometry, meta-GGA SCAN.

Cell: 2.5248 3.9926 5.4526 Å, 90.00 102.93 90.00°
Fractional positions:
Li  0.5648  0.5000  0.2345
Li  0.9557  0.0000  0.0339
Ni  0.6983  0.0000  0.5319
W  0.2812  0.5000  0.6997

Calculated values
Its space group is No. 6. As for the crystal system: monoclinic.

=====

Li2NiW: PBEsol geometry, meta-GGA SCAN.

Cell: 2.5203 4.4925 4.6390 Å, 90.00 90.00 93.05°
Fractional positions:
Ni  0.0000  0.5000  0.5000
Li  0.1714  0.2547  0.0000
Li  0.8286  0.7453  0.0000
W  0.5000  0.0000  0.5000

Calculated values
Its space group is No. 10. As for the crystal system: monoclinic.

=====

Li2NiW: PBEsol geometry, meta-GGA SCAN.

Cell: 4.7438 5.2043 5.2043 Å, 78.01 62.89 62.89°
Fractional positions:
W  0.7500  0.5000  0.5000
W  0.0000  0.0000  0.0000
Li  0.5905  0.5345  0.0345
Li  0.1595  0.4655  0.9655
Li  0.8750  0.9655  0.5345
Li  0.3750  0.0345  0.4655
Ni  0.5000  0.0000  0.0000
Ni  0.2500  0.5000  0.5000

Calculated values
Its space group is No. 122. As for the crystal system: tetragonal.

=====

Li2NiW: PBEsol geometry, meta-GGA SCAN.

Cell: 4.0745 4.0745 4.0745 Å, 60.00 60.00 60.00°
Fractional positions:
W  0.2500  0.2500  0.2500
Ni  0.5000  0.5000  0.5000
Li  0.7500  0.7500  0.7500
Li  0.0000  0.0000  0.0000

Calculated values
Its space group is No. 216. As for the crystal system: cubic.

=====

Li2NiW: PBEsol geometry, meta-GGA SCAN.

Cell: 2.5272 4.4725 5.3175 Å, 114.00 102.32 93.32°
Fractional positions:
Li  0.0000  0.0000  0.5000
Li  0.5000  0.5000  0.5000
Ni  0.5000  0.0000  0.0000
W  0.0000  0.5000  0.0000

Calculated values
Its space group is No. 12. As for the crystal system: monoclinic.

=====

LiNi6W: PBEsol geometry, meta-GGA SCAN.

Cell: 6.1069 6.1069 9.9976 Å, 90.00 90.00 109.61°
Last column: magnetic moment on the atom in μB.
Fractional positions:
W  0.0000  0.0000  0.7605  -0.12
W  0.2485  0.7515  0.5000  -0.05
W  0.0000  0.0000  0.2395  -0.12
W  0.7515  0.2485  0.5000  -0.05
Ni  0.3751  0.1262  0.6250  -0.01
Ni  0.3773  0.1266  0.8755  0.32
Ni  0.2499  0.7501  0.7501  0.11
Ni  0.8734  0.6227  0.8755  0.32
Ni  0.3751  0.1262  0.3750  -0.01
Ni  0.6227  0.8734  0.1245  0.32
Ni  0.3773  0.1266  0.1245  0.32
Ni  0.8734  0.6227  0.1245  0.32
Ni  0.0000  0.0000  0.0000  0.20
Ni  0.5000  0.5000  0.0000  0.66
Ni  0.1262  0.3751  0.6250  -0.01
Ni  0.6227  0.8734  0.8755  0.32
Ni  0.7501  0.2499  0.2499  0.11
Ni  0.7501  0.2499  0.7501  0.11
Ni  0.1266  0.3773  0.8755  0.32
Ni  0.5000  0.5000  0.5000  -0.01
Ni  0.6249  0.8738  0.3750  -0.01
Ni  0.8738  0.6249  0.6250  -0.01
Ni  0.1262  0.3751  0.3750  -0.01
Ni  0.6249  0.8738  0.6250  -0.01
Ni  0.1266  0.3773  0.1245  0.32
Ni  0.0000  0.0000  0.5000  -0.05
Ni  0.2499  0.7501  0.2499  0.11
Ni  0.8738  0.6249  0.3750  -0.01
Li  0.5000  0.5000  0.7544  -0.01
Li  0.7551  0.2449  0.0000  -0.01
Li  0.5000  0.5000  0.2456  -0.01
Li  0.2449  0.7551  0.0000  -0.01

Calculated values
Its space group is No. 65. As for the crystal system: orthorhombic.

=====

no.,magnetic moment (μB per atom),energy of formation from the pure elements (eV per atom)
1,0.000,0.065
2,0.000,-0.089
3,0.000,0.258
4,0.000,0.298
5,0.000,0.941
6,0.000,0.416
7,0.000,0.318
8,0.085,-0.038